Entry 1:
Entry from the Alexandria database: an optimized crystal structure of BeIr2Rh (PBE).

It has space group I4/mmm (No. 139), with a = 3.7716 Å, b = 3.7716 Å, c = 7.4684 Å, α = 90.00°, β = 90.00° and γ = 90.00°. The asymmetric unit holds Be at (0.0000, 0.0000, 0.0000), Ir at (0.0000, 0.5000, 0.2500) and Rh at (0.0000, 0.0000, 0.5000).

The total moment is 0.00 μB/f.u. As for the crystal system: tetragonal. The formation enthalpy at 0 K comes out at -0.104 eV/atom. Its density is 15.5 Mg/m³.

Entry 2:
Entry from the Alexandria database: an optimized crystal structure of LiPPb2 (PBE).

It has space group R-3m (No. 166, hexagonal axes), with a = 3.9196 Å, b = 3.9196 Å, c = 23.0097 Å, α = 90.00°, β = 90.00° and γ = 120.00°. The asymmetric unit holds Li at (0.0000, 0.0000, 0.0000), P at (0.0000, 0.0000, 0.5000) and Pb at (0.0000, 0.0000, 0.2414).

The total moment is 0.00 μB/f.u. As for the crystal system: trigonal. The formation enthalpy at 0 K comes out at 0.062 eV/atom. Its density is 7.4 Mg/m³.

Entry 3:
Entry from the Alexandria database: an optimized crystal structure of LiCaCdRh (PBE).

It has space group F-43m (No. 216), with a = 6.7670 Å, b = 6.7670 Å, c = 6.7670 Å, α = 90.00°, β = 90.00° and γ = 90.00°. The asymmetric unit holds Li at (0.0000, 0.0000, 0.0000), Ca at (0.2500, 0.2500, 0.7500), Cd at (0.2500, 0.2500, 0.2500) and Rh at (0.0000, 0.0000, 0.5000).

The total moment is 0.00 μB/f.u. As for the crystal system: cubic. The formation enthalpy at 0 K comes out at -0.292 eV/atom. Its density is 5.6 Mg/m³.

Entry 4:
Entry from the Alexandria database: an optimized crystal structure of CdP2Cl2 (PBE).

It has space group I4/mmm (No. 139), with a = 4.7524 Å, b = 4.7524 Å, c = 10.2917 Å, α = 90.00°, β = 90.00° and γ = 90.00°. The asymmetric unit holds Cd at (0.0000, 0.0000, 0.0000), P at (0.0000, 0.0000, 0.4032) and Cl at (0.0000, 0.5000, 0.2500).

The raw formation energy is 0.28 eV/atom. The total moment is 0.00 μB/f.u. As for the crystal system: tetragonal. As for the distance to the lowest polymorph of the same formula: 398 meV/atom. Its density is 3.5 Mg/m³.

Entry 5:
Entry from the Alexandria database: an optimized crystal structure of Tb2Er3Hg6 (PBE).

It has space group I4/mmm (No. 139), with a = 5.0579 Å, b = 5.0579 Å, c = 26.4934 Å, α = 90.00°, β = 90.00° and γ = 90.00°. The asymmetric unit holds Tb at (0.0000, 0.0000, 0.1317), Er at (0.0000, 0.0000, 0.3646), Er at (0.0000, 0.0000, 0.5000), Hg at (0.0000, 0.0000, 0.2485) and Hg at (0.0000, 0.5000, 0.0658).

The total moment is 0.00 μB/f.u. As for the crystal system: tetragonal. The formation enthalpy at 0 K comes out at -0.100 eV/atom. Its density is 9.9 Mg/m³.

Entry 6:
Entry from the Alexandria database: an optimized crystal structure of Mn2InSe (PBE).

It has space group P4/mmm (No. 123), with a = 3.1000 Å, b = 3.1000 Å, c = 6.9630 Å, α = 90.00°, β = 90.00° and γ = 90.00°. The asymmetric unit holds Mn at (0.0000, 0.0000, 0.2135), In at (0.5000, 0.5000, 0.5000) and Se at (0.5000, 0.5000, 0.0000).

The raw formation energy is 0.15 eV/atom. The total moment is 6.16 μB/f.u. As for the crystal system: tetragonal. As for the distance to the lowest polymorph of the same formula: 121 meV/atom. Its density is 7.5 Mg/m³.

Entry 7:
Entry from the Alexandria database: an optimized crystal structure of Ti5Hg (PBE).

It has space group Cmmm (No. 65), with a = 4.1614 Å, b = 12.3185 Å, c = 4.1410 Å, α = 90.00°, β = 90.00° and γ = 90.00°. The asymmetric unit holds Ti at (0.0000, 0.0000, 0.0000), Ti at (0.0000, 0.1704, 0.5000), Ti at (0.0000, 0.3266, 0.0000) and Hg at (0.0000, 0.5000, 0.5000).

The total moment is 0.98 μB/f.u. As for the crystal system: orthorhombic. The formation enthalpy at 0 K comes out at -0.022 eV/atom. As for the distance to the lowest polymorph of the same formula: 0 meV/atom. Its density is 6.9 Mg/m³.

Entry 8:
Entry from the Alexandria database: an optimized crystal structure of BaCaAl2 (PBE).

It has space group Cmmm (No. 65), with a = 7.9058 Å, b = 7.9183 Å, c = 3.9627 Å, α = 90.00°, β = 90.00° and γ = 90.00°. The asymmetric unit holds Ba at (0.0000, 0.0000, 0.0000), Ca at (0.0000, 0.5000, 0.0000) and Al at (0.2500, 0.2500, 0.5000).

The total moment is 0.00 μB/f.u. As for the crystal system: orthorhombic. The formation enthalpy at 0 K comes out at -0.023 eV/atom. As for the distance to the lowest polymorph of the same formula: 164 meV/atom. Its density is 3.1 Mg/m³.